1.
Here is a geometry-optimized RbFeAu2O structure from Alexandria. Energies are from PBE+U.

The structure belongs to space group P4/mmm (No. 123); the cell edges are 5.814, 5.814 and 4.236 Å and the angles 90.00°, 90.00° and 90.00°. The asymmetric unit holds Rb at (0.000, 0.000, 0.000), Fe at (0.500, 0.500, 0.500), Au at (0.000, 0.500, 0.000) and O at (0.000, 0.000, 0.500).

2.
Here is a geometry-optimized FeRuAuO2 structure from Alexandria. Energies are from PBE+U.

The structure belongs to space group P4/mmm (No. 123); the cell edges are 3.800, 3.800 and 5.336 Å and the angles 90.00°, 90.00° and 90.00°. The asymmetric unit holds Fe at (0.000, 0.000, 0.000), Ru at (0.500, 0.500, 0.500), Au at (0.000, 0.000, 0.500) and O at (0.000, 0.500, 0.000).

3.
Here is a geometry-optimized Fe2AuSO structure from Alexandria. Energies are from PBE+U.

The energy relative to the lowest polymorph listed for this composition is 0.733 eV/f.u.

The structure belongs to space group P4/mmm (No. 123); the cell edges are 4.417, 4.417 and 4.640 Å and the angles 90.00°, 90.00° and 90.00°. The asymmetric unit holds Fe at (0.000, 0.500, 0.000), Au at (0.000, 0.000, 0.500), S at (0.000, 0.000, 0.000) and O at (0.500, 0.500, 0.500).

4.
Here is a geometry-optimized Fe2AuSO structure from Alexandria. Energies are from PBE+U.

The energy relative to the lowest polymorph listed for this composition is 0.000 eV/f.u.

The structure belongs to space group P4/mmm (No. 123); the cell edges are 5.081, 5.081 and 3.928 Å and the angles 90.00°, 90.00° and 90.00°. The asymmetric unit holds Fe at (0.000, 0.500, 0.000), Au at (0.000, 0.000, 0.000), S at (0.500, 0.500, 0.500) and O at (0.000, 0.000, 0.500).

5.
Here is a geometry-optimized Tl2FeAuO structure from Alexandria. Energies are from PBE+U.

The structure belongs to space group P4/mmm (No. 123); the cell edges are 5.733, 5.733 and 3.607 Å and the angles 90.00°, 90.00° and 90.00°. The asymmetric unit holds Tl at (0.000, 0.500, 0.000), Fe at (0.000, 0.000, 0.000), Au at (0.500, 0.500, 0.500) and O at (0.000, 0.000, 0.500).

Calculated M_tot, 3.43, 7.78, 7.03, 7.86, 3.16 Bohr magnetons per cell (same order as the records).
Calculated raw total energy, -2.260, -5.313, -3.931, -4.077, -3.901 eV/atom (same order as the records).